Entry 1:
VASP calculation (PBE) on crystalline Pa3Nb5N12 at its relaxed geometry.

Cell: 12.905 12.905 12.905 Å, 90.00 90.00 90.00°
Space group Ia-3d (No. 230)
Unique sites:
1 Pa 0.000 0.250 0.125 [24 per cell]
2 Nb 0.000 0.000 0.000 [16 per cell]
3 Nb 0.000 0.250 0.375 [24 per cell]
4 N 0.025 0.060 0.653 [96 per cell]

Computed properties:
- Volume: 2149.0 Å³/cell
- DOS at the Fermi energy: 12.42 states/eV/f.u.

=====

Entry 2:
VASP calculation (PBE) on crystalline Pa3NbN6 at its relaxed geometry.

Cell: 9.250 11.042 5.572 Å, 90.00 90.00 90.00°
Space group Cmc2_1 (No. 36)
Unique sites:
1 Pa 0.000 0.109 0.000 [4 per cell]
2 Pa 0.201 0.390 0.051 [8 per cell]
3 Nb 0.000 0.345 0.570 [4 per cell]
4 N 0.000 0.280 0.217 [4 per cell]
5 N 0.000 0.482 0.841 [4 per cell]
6 N 0.152 0.247 0.750 [8 per cell]
7 N 0.153 0.012 0.276 [8 per cell]

Computed properties:
- Volume: 569.1 Å³/cell
- DOS at the Fermi energy: 4.92 states/eV/f.u.

=====

Entry 3:
VASP calculation (PBE) on crystalline Pa5NbN6 at its relaxed geometry.

Cell: 5.940 10.323 5.978 Å, 90.00 109.26 90.00°
Space group C2/m (No. 12)
Unique sites:
1 Pa 0.000 0.000 0.000 [2 per cell]
2 Pa 0.000 0.167 0.500 [4 per cell]
3 Pa 0.000 0.334 0.000 [4 per cell]
4 Nb 0.000 0.500 0.500 [2 per cell]
5 N 0.239 0.340 0.737 [8 per cell]
6 N 0.240 0.500 0.258 [4 per cell]

Computed properties:
- Volume: 346.1 Å³/cell
- DOS at the Fermi energy: 6.94 states/eV/f.u.

=====

Entry 4:
VASP calculation (PBE) on crystalline Pa3NbN7 at its relaxed geometry.

Cell: 7.559 10.589 7.561 Å, 90.00 90.00 90.00°
Space group C222_1 (No. 20)
Unique sites:
1 Pa 0.007 0.000 0.000 [4 per cell]
2 Pa 0.233 0.265 0.753 [8 per cell]
3 Nb 0.015 0.500 0.000 [4 per cell]
4 N 0.000 0.127 0.250 [4 per cell]
5 N 0.000 0.135 0.750 [4 per cell]
6 N 0.000 0.417 0.750 [4 per cell]
7 N 0.215 0.374 0.031 [8 per cell]
8 N 0.225 0.375 0.479 [8 per cell]

Computed properties:
- Volume: 605.2 Å³/cell
- DOS at the Fermi energy: 9.05 states/eV/f.u.

=====

Entry 5:
VASP calculation (PBE) on crystalline PaNbN2 at its relaxed geometry.

Cell: 5.729 3.303 11.091 Å, 90.00 90.00 90.00°
Space group Pnma (No. 62)
Unique sites:
1 Pa 0.075 0.250 0.145 [4 per cell]
2 Nb 0.074 0.750 0.403 [4 per cell]
3 N 0.162 0.250 0.755 [4 per cell]
4 N 0.234 0.750 0.997 [4 per cell]

Computed properties:
- Volume: 209.9 Å³/cell
- DOS at the Fermi energy: 2.00 states/eV/f.u.

=====

Entry 6:
VASP calculation (PBE) on crystalline Pa2NbPdN6 at its relaxed geometry.

Cell: 5.435 5.435 4.845 Å, 90.00 90.00 90.00°
Space group P4mm (No. 99)
Unique sites:
1 Pa 0.000 0.500 0.000 [2 per cell]
2 Nb 0.000 0.000 0.582 [1 per cell]
3 Pd 0.500 0.500 0.664 [1 per cell]
4 N 0.000 0.000 0.193 [1 per cell]
5 N 0.242 0.242 0.754 [4 per cell]
6 N 0.500 0.500 0.182 [1 per cell]

Computed properties:
- Volume: 143.1 Å³/cell
- DOS at the Fermi energy: 3.29 states/eV/f.u.

=====

Number 1: ΔE_f (raw) -1.1249 eV/atom. Number 2: ΔE_f (raw) -1.5234 eV/atom. Number 3: ΔE_f (raw) -1.5255 eV/atom. Number 4: ΔE_f (raw) -1.3478 eV/atom. Number 5: ΔE_f (raw) -1.4523 eV/atom. Number 6: ΔE_f (raw) -0.6080 eV/atom.